# AsIrClO

A relaxed structure of AsIrClO (PBE, Alexandria via LeMat-Bulk).

Properties
Energy relative to the lowest polymorph listed for this composition   0 meV/atom
Spin magnetization   0.00 μB per atom
N(E_F)   1.06 states/eV per cell

Geometry as extended XYZ:
```
4
Lattice="2.852 0.000 0.000 0.000 3.680 0.000 -0.778 -1.802 7.510" Properties=species:S:1:pos:R:3 pbc="T T T"
As 0.000 0.000 0.000
Ir 0.001 1.840 1.472
Cl 0.002 0.000 3.108
O 0.648 1.878 6.344
```


# RbAgPOs

A relaxed structure of RbAgPOs (PBE, Alexandria via LeMat-Bulk).

Properties
Spin magnetization   0.00 μB per atom
N(E_F)   2.80 states/eV per cell

Geometry as extended XYZ:
```
8
Lattice="3.970 0.000 0.000 0.000 3.970 0.000 0.000 0.000 12.881" Properties=species:S:1:pos:R:3 pbc="T T T"
Rb 0.993 0.993 3.148
Rb 2.978 2.978 9.733
Ag 0.993 2.978 0.000
Ag 2.978 0.993 0.000
P 0.993 0.993 7.715
P 2.978 2.978 5.166
Os 0.993 2.978 6.441
Os 2.978 0.993 6.441
```


# Ba2TaTl

A relaxed structure of Ba2TaTl (PBE, Alexandria via LeMat-Bulk).

Properties
Energy relative to the lowest polymorph listed for this composition   234 meV/atom
Spin magnetization   0.92 μB per atom
N(E_F)   4.18 states/eV per cell

Geometry as extended XYZ:
```
4
Lattice="-2.666 2.666 4.753 2.666 -2.666 4.753 2.666 2.666 -4.753" Properties=species:S:1:pos:R:3 pbc="T T T"
Ba 0.000 0.000 0.000
Ba 0.000 2.666 2.376
Ta 2.666 0.000 2.376
Tl 0.000 0.000 4.753
```


# VTeIr2

A relaxed structure of VTeIr2 (PBE, Alexandria via LeMat-Bulk).

Properties
Spin magnetization   0.01 μB per atom
N(E_F)   8.06 states/eV per cell

Geometry as extended XYZ:
```
8
Lattice="-2.849 2.849 5.669 2.849 -2.849 5.669 2.849 2.849 -5.669" Properties=species:S:1:pos:R:3 pbc="T T T"
V 0.000 0.000 0.000
V 0.000 2.849 2.835
Te 2.849 0.000 2.835
Te 0.000 0.000 5.669
Ir 4.273 1.238 -1.417
Ir 1.238 1.424 1.417
Ir -1.424 1.610 4.252
Ir 1.610 1.424 7.086
```


# LiTl3Cu2Cl9

A relaxed structure of LiTl3Cu2Cl9 (PBE, Alexandria via LeMat-Bulk).

Properties
Spin magnetization   0.00 μB per atom
N(E_F)   7.80 states/eV per cell

Geometry as extended XYZ:
```
15
Lattice="6.945 0.000 0.000 -3.472 6.015 0.000 0.000 0.000 8.529" Properties=species:S:1:pos:R:3 pbc="T T T"
Li 0.000 0.000 0.000
Tl 0.000 0.000 4.265
Tl 0.000 4.010 1.293
Tl 3.472 2.005 7.236
Cu 0.000 4.010 5.673
Cu 3.472 2.005 2.857
Cl -1.736 3.007 4.265
Cl 0.000 2.057 6.993
Cl -1.691 4.986 6.993
Cl 1.781 1.028 1.536
Cl 3.472 0.000 4.265
Cl 1.736 3.007 4.265
Cl 1.691 4.986 6.993
Cl 5.164 1.028 1.536
Cl 3.472 3.958 1.536
```


# BaSc2Al

A relaxed structure of BaSc2Al (PBE, Alexandria via LeMat-Bulk).

Properties
Spin magnetization   0.29 μB per atom
N(E_F)   5.09 states/eV per cell

Geometry as extended XYZ:
```
4
Lattice="1.728 0.998 11.022 -1.728 0.998 11.022 0.000 -1.995 11.022" Properties=species:S:1:pos:R:3 pbc="T T T"
Ba 0.000 0.000 0.000
Sc 0.000 0.000 7.655
Sc 0.000 0.000 16.131
Al 0.000 0.000 24.880
```


# Ce4TeAs5

A relaxed structure of Ce4TeAs5 (PBE, Alexandria via LeMat-Bulk).

Properties
Spin magnetization   0.15 μB per atom
N(E_F)   15.94 states/eV per cell

Geometry as extended XYZ:
```
10
Lattice="7.873 -2.129 0.000 7.873 2.129 0.000 -2.681 0.000 7.586" Properties=species:S:1:pos:R:3 pbc="T T T"
Ce 0.380 0.000 2.065
Ce 4.207 0.000 1.781
Ce 8.857 0.000 5.805
Ce 12.684 0.000 5.521
Te 6.532 0.000 3.793
As -0.496 0.000 7.257
As 2.733 0.000 4.823
As 7.873 0.000 0.000
As 10.331 0.000 2.763
As 13.560 0.000 0.329
```


# Mg2ZnPb

A relaxed structure of Mg2ZnPb (PBE, Alexandria via LeMat-Bulk).

Properties
Spin magnetization   0.00 μB per atom
N(E_F)   1.83 states/eV per cell

Geometry as extended XYZ:
```
4
Lattice="-2.203 2.203 4.623 2.203 -2.203 4.623 2.203 2.203 -4.623" Properties=species:S:1:pos:R:3 pbc="T T T"
Mg 0.000 0.000 0.000
Mg 0.000 2.203 2.311
Zn 0.000 0.000 4.623
Pb 2.203 0.000 2.311
```


no.,calculated density (Mg/m³),total energy (Ry per atom)
1,6.7,-0.40645
2,6.8,-0.39070
3,8.1,-0.27507
4,10.2,-0.51988
5,5.0,-0.22524
6,3.7,-0.32018
7,6.9,-0.44916
8,5.9,-0.14958